Here is a relaxed Li2Mg2Pd crystal from Alexandria. Energies are from GGA-PBE.

a = 8.561 Å, b = 8.561 Å, c = 3.163 Å
α = 100.47°, β = 100.47°, γ = 23.41°
Element x y z (fractional)
Li 0.199 0.199 0.199
Li 0.801 0.801 0.801
Mg 0.411 0.411 0.411
Mg 0.589 0.589 0.589
Pd 0.000 0.000 0.000

- Total energy: -2.77 eV/atom
- Total magnetic moment: 0.0000 μB per atom
- DOS(E_F): 2.405 states/eV/cell
- Energy of formation from the pure elements: -0.324 eV per atom
- Energy relative to the lowest polymorph listed for this composition: 31 meV/atom